Compound: Te2Pt2PbF2
Source: OQMD via LeMat-Bulk
Functional: GGA-PBE
Structure: optimized geometry

Values from the calculation:
**Calculated total energy**: -4.0200 eV per atom
**Crystal system**: tetragonal

Cell lengths 3.7408, 3.7408, 9.9035 Å; angles 90.00, 90.00, 90.00 degrees
Last column: nearest neighbours and their distance in Å.
Space group P-4m2 (No. 115)
Asymmetric unit:
Te 0.0000 0.5000 0.2437  4 Pt 2.74, 4 F 3.05
Pt 0.0000 0.5000 0.8289  4 F 2.52, 4 Te 2.74
Pb 0.0000 0.0000 0.5000  4 Te 3.15
F 0.0000 0.0000 0.0000  4 Pt 2.52, 4 F 2.65
F 0.5000 0.5000 0.0000  4 Pt 2.52, 4 F 2.65